Entry 1:
DFT (PBE) results for a geometry-optimized Li2PmIn9 structure.

a b c (Å): 4.5870 4.5870 13.9559
angles (deg): 90.00 90.00 90.00
Closest atoms and distances in Å follow each position.
Fractional positions:
1 In 0.0000 0.5000 0.5000  8 In 3.24-3.26, 4 Li 3.30
2 In 0.5000 0.0000 0.8239  2 Li 3.14, 8 In 3.18-3.36, 2 Pm 3.36
3 In 0.5000 0.5000 0.0000  4 Pm 3.24, 8 In 3.36
4 In 0.5000 0.0000 0.5000  8 In 3.24-3.26, 4 Li 3.30
5 In 0.5000 0.5000 0.3343  8 In 3.18-3.26, 4 Li 3.24
6 In 0.0000 0.5000 0.1761  2 Li 3.14, 8 In 3.18-3.36, 2 Pm 3.36
7 In 0.0000 0.5000 0.8239  2 Li 3.14, 8 In 3.18-3.36, 2 Pm 3.36
8 In 0.5000 0.0000 0.1761  2 Li 3.14, 8 In 3.18-3.36, 2 Pm 3.36
9 In 0.5000 0.5000 0.6657  8 In 3.18-3.26, 4 Li 3.24
10 Li 0.0000 0.0000 0.3302  12 In 3.14-3.30
11 Li 0.0000 0.0000 0.6698  12 In 3.14-3.30
12 Pm 0.0000 0.0000 0.0000  12 In 3.24-3.36

formation enthalpy at 0 K	-0.22	eV per atom
E_tot	-2.993	eV per atom
M_tot	0.00	μB/f.u.


Entry 2:
DFT (PBE) results for a geometry-optimized Li2PmIn4 structure.

a b c (Å): 6.1054 6.1054 5.4856
angles (deg): 63.29 63.29 78.87
Closest atoms and distances in Å follow each position.
Fractional positions:
1 In 0.0009 0.3937 0.3028  4 In 2.98-3.05, 4 Li 3.10-3.12, 1 Pm 3.31
2 In 0.9991 0.6063 0.6972  4 In 2.98-3.05, 4 Li 3.10-3.12, 1 Pm 3.31
3 In 0.6063 0.9991 0.6972  4 In 2.98-3.05, 4 Li 3.10-3.12, 1 Pm 3.31
4 In 0.3937 0.0009 0.3028  4 In 2.98-3.05, 4 Li 3.10-3.12, 1 Pm 3.31
5 Li 0.5002 0.5002 0.2502  2 Li 2.74-2.75
6 Li 0.4998 0.4998 0.7498  2 Li 2.74-2.75
7 Pm 0.0000 0.0000 0.0000  12 In 3.31-3.48

formation enthalpy at 0 K	-0.32	eV per atom
E_tot	-3.114	eV per atom
M_tot	0.00	μB/f.u.


formation enthalpy at 0 K of number 1 (Li2PmIn9)? -0.22 eV per atom


What is the M_tot in the second record? 0.00 μB/f.u.


What is the E_tot in the second record? -3.114 eV per atom